[1]
Here is crystalline CoAuCl2 at its relaxed geometry from the Alexandria database. Energies are from GGA-PBEsol.

```
4
Lattice="2.9995 0.0000 0.0000 0.0000 4.6464 0.0000 -1.4997 -2.3232 5.5450" Properties=species:S:1:pos:R:3 pbc="T T T"
Co 0.0000 2.3232 0.0000
Au 1.4997 0.0000 0.0000
Cl 1.4997 2.3232 1.5924
Cl 0.0000 0.0000 3.9526
```

## Properties
For the energy above the most stable polymorph in this dataset, the calculation gives 0 meV/atom. The value obtained for the volume is 19.320 Å³ per atom. The calculation puts the total moment at 0.00 μB/f.u. The formation energy from raw total energies is -0.02 eV/atom.

***

[2]
Here is crystalline CoAuCl2 at its relaxed geometry from the Alexandria database. Energies are from GGA-PBEsol.

```
4
Lattice="2.8456 0.0000 0.0000 1.4228 2.4643 0.0000 1.4228 0.8214 10.6866" Properties=species:S:1:pos:R:3 pbc="T T T"
Co 0.0000 0.0000 0.0000
Au 2.8456 1.6429 5.3433
Cl 4.2683 2.4643 2.0698
Cl 1.4228 0.8214 8.6168
```

## Properties
For the energy above the most stable polymorph in this dataset, the calculation gives 288 meV/atom. The value obtained for the volume is 18.735 Å³ per atom. The calculation puts the total moment at 2.01 μB/f.u. The formation energy from raw total energies is 0.27 eV/atom.

***

[3]
Here is crystalline CoAuCl2 at its relaxed geometry from the Alexandria database. Energies are from GGA-PBEsol.

```
4
Lattice="3.1041 0.0000 0.0000 1.5520 2.6882 0.0000 1.5520 0.8961 8.8974" Properties=species:S:1:pos:R:3 pbc="T T T"
Co 3.1041 1.7921 4.4487
Au 0.0000 0.0000 0.0000
Cl 4.6561 2.6882 3.0942
Cl 1.5520 0.8961 5.8032
```

## Properties
For the energy above the most stable polymorph in this dataset, the calculation gives 26 meV/atom. The value obtained for the volume is 18.561 Å³ per atom. The calculation puts the total moment at 0.89 μB/f.u. The formation energy from raw total energies is 0.01 eV/atom.